10
Lattice="8.140 -2.212 0.000 8.140 2.212 0.000 -7.516 0.000 8.257" Properties=species:S:1:pos:R:3 comment="Tb2TeSeS | Alexandria via LeMat-Bulk | PBE | relaxed" magnetic_moment_mub_per_cell=0.00 dft_energy_ev_per_cell=-57.167 n_ef_per_ev_cell=0.00 pbc="T T T"
Tb -1.142 0.000 3.009
Tb -1.738 0.000 7.725
Tb 10.503 0.000 0.532
Tb 9.906 0.000 5.248
Te 2.240 0.000 3.053
Te 6.525 0.000 5.204
Se 0.975 0.000 6.708
Se 7.789 0.000 1.549
S -4.462 0.000 7.249
S 13.227 0.000 1.008